Compound: CaCoNi2B
Source: Alexandria
Functional: PBE-GGA
Structure: relaxed

The total moment comes out at 0.00 μB per formula unit. Its calculated total energy is -28.2 eV for the cell shown.

The space group is P4/mmm (No. 123) and the conventional cell measures 3.994, 3.994 and 3.951 Å, with angles of 90.00, 90.00 and 90.00 degrees. The inequivalent atoms are Ca at (0.000, 0.000, 0.000), Co at (0.500, 0.500, 0.000), Ni at (0.000, 0.500, 0.500) and B at (0.500, 0.500, 0.500).